[1]
MgTlW | GGA-PBEsol | relaxed

POSCAR file:
```
MgTlW
1.0
4.530 0.000 0.000
2.265 3.923 0.000
2.265 1.308 3.699
Mg Tl W
1 1 1
Cartesian
6.796 3.923 2.774
0.000 0.000 0.000
4.530 2.616 1.850
```

Values from the calculation:
DOS at the Fermi energy ... 1.62 states/eV/f.u.
Offset from the most stable computed form ... 0.908 eV per atom


[2]
CuNi | GGA-PBEsol | relaxed

POSCAR file:
```
CuNi
1.0
-3.139 -0.082 -1.788
-2.384 -2.635 0.655
-3.084 0.743 1.729
Cu Ni
1 1
Cartesian
0.000 0.000 0.000
-2.152 -0.493 0.149
```

Values from the calculation:
DOS at the Fermi energy ... 5.64 states/eV/f.u.
Final energy ... -7.6 eV per formula unit


[3]
CoPtSe | GGA-PBEsol | relaxed

POSCAR file:
```
CoPtSe
1.0
-1.455 -0.968 -2.325
2.707 0.080 -1.727
0.267 -3.789 3.230
Co Pt Se
1 1 1
Cartesian
0.046 -0.218 0.062
0.610 -2.891 0.822
0.863 -1.569 -1.706
```

Values from the calculation:
DOS at the Fermi energy ... 3.60 states/eV/f.u.
Energy relative to the elements, uncorrected ... 0.160 eV per atom


[4]
LaZnPt2 | GGA-PBEsol | relaxed

POSCAR file:
```
LaZnPt2
1.0
-0.272 -2.813 -2.640
0.427 -3.073 3.230
-4.819 0.508 1.120
La Pt Zn
1 2 1
Cartesian
-3.758 -1.824 1.866
-4.815 -1.690 -0.972
-1.366 -3.678 -0.214
-2.363 -1.643 -1.251
```

Values from the calculation:
DOS at the Fermi energy ... 1.26 states/eV/f.u.
Final energy ... -23.6 eV per formula unit